Zn4B2O7 | PBE | optimized geometry

Calculated values
The value obtained for the formation energy (no corrections) is -1.746 eV per atom.

Cell: 14.3435 8.3406 9.9299 Å, 90.00 116.90 90.00°
Space group C2 (No. 5)
Unique sites:
Zn 0.0829 0.0000 0.3393
Zn 0.0834 0.5355 0.8582
Zn 0.1054 0.3112 0.1661
Zn 0.1250 0.7169 0.1602
Zn 0.1346 0.1910 0.7027
Zn 0.1439 0.8376 0.6707
B 0.0000 0.0104 0.0000
B 0.0000 0.6030 0.5000
B 0.2393 0.2637 0.5038
B 0.2399 0.2781 0.0029
O 0.0000 0.1771 0.0000
O 0.0550 0.0079 0.6710
O 0.0575 0.5250 0.1776
O 0.0588 0.9284 0.1334
O 0.0687 0.6076 0.6369
O 0.1571 0.2094 0.3722
O 0.1604 0.3371 0.8690
O 0.1755 0.8426 0.4979
O 0.1797 0.6917 0.0038
O 0.2352 0.3037 0.1365
O 0.2407 0.2428 0.6432